No. 1
AcPtSe2 | PBE-GGA | optimized geometry

```
AcPtSe2
1.0
1.952 1.127 8.730
-1.952 1.127 8.730
0.000 -2.254 8.730
Ac Pt Se
1 1 2
direct
0.000 0.000 0.000 Ac
0.500 0.500 0.500 Pt
0.118 0.118 0.118 Se
0.882 0.882 0.882 Se
```

Calculated values
ΔE_f (raw): -1.6 eV/f.u.
Space-group type: R-3m
Raw total energy: -4.67 eV/atom

***

No. 2
Ac5PtSe4 | PBE-GGA | optimized geometry

```
Ac5PtSe4
1.0
-2.232 2.232 15.870
2.232 -2.232 15.870
2.232 2.232 -15.870
Ac Pt Se
5 1 4
direct
0.000 0.000 0.000 Ac
0.203 0.203 0.000 Ac
0.403 0.403 0.000 Ac
0.597 0.597 0.000 Ac
0.797 0.797 0.000 Ac
0.500 0.500 0.000 Pt
0.103 0.103 0.000 Se
0.303 0.303 0.000 Se
0.697 0.697 0.000 Se
0.897 0.897 0.000 Se
```

Calculated values
ΔE_f (raw): -17.1 eV/f.u.
Space-group type: I4/mmm
Raw total energy: -5.76 eV/atom